[1]
VASP calculation (GGA-PBEsol) on a geometry-optimized NaMg2SbMo structure.

POSCAR file:
```
NaMg2SbMo
1.0
4.930 0.000 0.000
0.000 4.930 0.000
0.000 0.000 5.179
Sb Mg Na Mo
1 2 1 1
direct
0.000 0.000 0.500
0.000 0.500 0.000
0.500 0.000 0.000
0.000 0.000 0.000
0.500 0.500 0.500
```

As for the total energy: -2.87 eV per atom. The uncorrected formation energy is 1362 meV/atom. As for the space-group type: No. 123.



[2]
VASP calculation (GGA-PBEsol) on a geometry-optimized MgNi2Mo structure.

POSCAR file:
```
MgNi2Mo
1.0
-2.187 1.580 -0.085
-2.237 -0.719 1.329
1.243 4.414 7.219
Ni Mg Mo
2 1 1
direct
0.749 0.749 0.754
0.251 0.251 0.246
0.500 0.500 0.500
0.000 0.000 0.000
```

As for the total energy: -6.30 eV per atom. As for the space-group type: No. 166. The value obtained for the energy of formation is 14.7 kJ/mol of atoms.